# 1
First-principles (PBE) data for an optimized crystal structure of HgP2Se, as listed in Alexandria.

POSCAR file:
```
HgP2Se
1.0
-3.8743 1.8201 -7.1794
0.1709 -3.5004 -0.9796
-3.2199 -0.6009 1.5853
Hg P Se
1 2 1
Direct
0.5000 0.0000 0.5000
0.0000 0.0000 0.0000
0.0000 0.5000 0.5000
0.5000 0.5000 0.0000
```

energy relative to the elements, uncorrected: 225.8 kJ/mol of formula units
relative energy among the computed polymorphs: 466 meV/atom
calculated density: 5.12 g/cm³

=====

# 2
First-principles (PBE) data for an optimized crystal structure of HgPSe, as listed in Alexandria.

POSCAR file:
```
HgPSe
1.0
1.3712 -4.3127 -1.0150
-2.7504 -3.6010 0.9889
-2.0697 -2.3461 -3.4238
Hg P Se
1 1 1
Direct
0.5000 0.5000 0.5000
0.2500 0.2500 0.2500
0.0000 0.0000 0.0000
```

energy relative to the elements, uncorrected: 162.9 kJ/mol of formula units
relative energy among the computed polymorphs: 380 meV/atom
calculated density: 7.31 g/cm³

=====

# 3
First-principles (PBE) data for an optimized crystal structure of HgPSe2, as listed in Alexandria.

POSCAR file:
```
HgPSe2
1.0
2.3812 0.0000 7.7604
-1.1906 2.0622 7.7604
-1.1906 -2.0622 7.7604
P Hg Se
1 1 2
Direct
0.0000 0.0000 0.0000
0.5000 0.5000 0.5000
0.9025 0.9025 0.9025
0.0975 0.0975 0.0975
```

energy relative to the elements, uncorrected: 151.8 kJ/mol of formula units
relative energy among the computed polymorphs: 357 meV/atom
calculated density: 5.66 g/cm³

=====

Number 3 is which compound?
HgPSe2

=====

Which value of relative energy among the computed polymorphs does entry 1 give?
466 meV/atom

=====

What is the formula in the third record?
HgPSe2